[1]
The following is a PBEsol calculation of a geometry-optimized Sr4Ru2O9 structure, from Alexandria.

Cell lengths 8.001, 9.602, 9.602 Å; angles 120.00, 90.00, 90.00 degrees
Each line ends with the local moment (μB).
Element x y z (fractional)
Sr: 0.000 0.000 0.673  0.01
Sr: 0.500 0.000 0.653  0.01
Sr: 0.248 0.680 0.666  0.01
Sr: 0.248 0.986 0.320  0.01
Sr: 0.500 0.653 0.000  0.01
Sr: 0.000 0.673 0.000  0.01
Sr: 0.248 0.334 0.014  0.01
Sr: 0.752 0.666 0.680  0.01
Sr: 0.752 0.320 0.986  0.01
Sr: 0.500 0.347 0.347  0.01
Sr: 0.000 0.327 0.327  0.01
Sr: 0.752 0.014 0.334  0.01
Ru: 0.155 0.000 0.000  1.18
Ru: 0.088 0.667 0.333  1.16
Ru: 0.400 0.667 0.333  1.20
Ru: 0.600 0.333 0.667  1.20
Ru: 0.912 0.333 0.667  1.16
Ru: 0.845 0.000 0.000  1.18
O: 0.723 0.990 0.826  0.15
O: 0.246 0.848 0.493  0.06
O: 0.966 0.682 0.505  0.17
O: 0.522 0.688 0.512  0.15
O: 0.000 0.000 0.166  0.07
O: 0.966 0.823 0.318  0.17
O: 0.522 0.824 0.312  0.15
O: 0.246 0.507 0.356  0.06
O: 0.723 0.836 0.010  0.15
O: 0.277 0.826 0.990  0.15
O: 0.246 0.644 0.152  0.06
O: 0.000 0.834 0.834  0.07
O: 0.966 0.495 0.177  0.17
O: 0.522 0.488 0.176  0.15
O: 0.723 0.174 0.164  0.15
O: 0.754 0.493 0.848  0.06
O: 0.478 0.512 0.688  0.15
O: 0.034 0.505 0.682  0.17
O: 0.000 0.166 0.000  0.07
O: 0.478 0.312 0.824  0.15
O: 0.034 0.318 0.823  0.17
O: 0.754 0.356 0.507  0.06
O: 0.277 0.010 0.836  0.15
O: 0.754 0.152 0.644  0.06
O: 0.034 0.177 0.495  0.17
O: 0.478 0.176 0.488  0.15
O: 0.277 0.164 0.174  0.15

Values from the calculation:
DFT total energy	-7.089	eV/atom
crystal system	trigonal
M_tot	11.965	Bohr magnetons per cell



[2]
The following is a PBEsol calculation of a geometry-optimized Sr3Ru2O7 structure, from Alexandria.

Cell lengths 5.481, 5.481, 10.657 Å; angles 90.00, 104.90, 90.00 degrees
Each line ends with the local moment (μB).
Element x y z (fractional)
Sr: 0.186 0.000 0.373  0.01
Sr: 0.814 0.000 0.627  0.01
Sr: 0.314 0.500 0.627  0.01
Sr: 0.000 0.000 0.000  0.01
Sr: 0.686 0.500 0.373  0.01
Sr: 0.500 0.500 0.000  0.01
Ru: 0.903 0.500 0.806  1.29
Ru: 0.403 0.000 0.806  1.29
Ru: 0.597 0.000 0.194  1.29
Ru: 0.097 0.500 0.194  1.29
O: 0.193 0.290 0.808  0.14
O: 0.307 0.210 0.192  0.14
O: 0.614 0.710 0.808  0.14
O: 0.386 0.710 0.192  0.14
O: 0.805 0.500 0.611  0.05
O: 0.807 0.290 0.192  0.14
O: 0.195 0.500 0.389  0.05
O: 0.695 0.000 0.389  0.05
O: 0.693 0.210 0.808  0.14
O: 0.305 0.000 0.611  0.05
O: 0.000 0.500 0.000  0.17
O: 0.886 0.790 0.192  0.14
O: 0.500 0.000 0.000  0.17
O: 0.114 0.790 0.808  0.14

Values from the calculation:
DFT total energy	-7.241	eV/atom
crystal system	orthorhombic
M_tot	7.459	Bohr magnetons per cell



[3]
The following is a PBEsol calculation of a geometry-optimized Sr4Ru3O12 structure, from Alexandria.

Cell lengths 5.480, 9.586, 18.000 Å; angles 90.00, 90.00, 90.00 degrees
Each line ends with the local moment (μB).
Element x y z (fractional)
Sr: 0.750 0.077 0.751  0.01
Sr: 0.750 0.746 0.488  0.00
Sr: 0.750 0.754 0.988  0.00
Sr: 0.750 0.106 0.142  0.01
Sr: 0.750 0.423 0.251  0.01
Sr: 0.750 0.063 0.363  0.01
Sr: 0.750 0.394 0.642  0.01
Sr: 0.750 0.437 0.863  0.01
Sr: 0.250 0.577 0.749  0.01
Sr: 0.250 0.254 0.512  0.00
Sr: 0.250 0.923 0.249  0.01
Sr: 0.250 0.246 0.012  0.00
Sr: 0.250 0.563 0.137  0.01
Sr: 0.250 0.606 0.358  0.01
Sr: 0.250 0.937 0.637  0.01
Sr: 0.250 0.894 0.858  0.01
Ru: 0.750 0.084 0.563  0.80
Ru: 0.750 0.088 0.938  -1.02
Ru: 0.750 0.746 0.688  1.14
Ru: 0.750 0.754 0.188  1.14
Ru: 0.750 0.416 0.063  0.80
Ru: 0.750 0.412 0.438  -1.02
Ru: 0.250 0.588 0.562  -1.02
Ru: 0.250 0.584 0.937  0.80
Ru: 0.250 0.912 0.062  -1.02
Ru: 0.250 0.916 0.437  0.80
Ru: 0.250 0.254 0.312  1.14
Ru: 0.250 0.246 0.812  1.14
O: 0.750 0.579 0.740  0.14
O: 0.750 0.917 0.622  0.11
O: 0.750 0.932 0.878  -0.13
O: 0.750 0.249 0.504  0.02
O: 0.000 0.500 0.500  -0.14
O: 0.000 0.000 0.000  -0.14
O: 0.991 0.159 0.624  0.06
O: 0.991 0.341 0.124  0.06
O: 0.996 0.828 0.742  0.14
O: 0.996 0.672 0.242  0.14
O: 0.009 0.841 0.376  0.06
O: 0.009 0.659 0.876  0.06
O: 0.000 0.172 0.880  -0.02
O: 0.000 0.328 0.380  -0.02
O: 0.004 0.328 0.758  0.14
O: 0.004 0.172 0.258  0.14
O: 0.000 0.828 0.120  -0.02
O: 0.000 0.672 0.620  -0.02
O: 0.000 0.000 0.500  0.09
O: 0.000 0.500 0.000  0.09
O: 0.250 0.749 0.996  0.02
O: 0.250 0.083 0.378  0.11
O: 0.250 0.068 0.122  -0.13
O: 0.250 0.421 0.260  0.14
O: 0.250 0.079 0.760  0.14
O: 0.250 0.432 0.622  -0.13
O: 0.250 0.417 0.878  0.11
O: 0.250 0.751 0.496  0.02
O: 0.500 0.000 0.500  0.09
O: 0.500 0.500 0.000  0.09
O: 0.500 0.672 0.620  -0.02
O: 0.500 0.828 0.120  -0.02
O: 0.496 0.328 0.758  0.14
O: 0.496 0.172 0.258  0.14
O: 0.500 0.172 0.880  -0.02
O: 0.500 0.328 0.380  -0.02
O: 0.491 0.659 0.876  0.06
O: 0.491 0.841 0.376  0.06
O: 0.504 0.828 0.742  0.14
O: 0.504 0.672 0.242  0.14
O: 0.509 0.159 0.624  0.06
O: 0.509 0.341 0.124  0.06
O: 0.500 0.000 0.000  -0.14
O: 0.500 0.500 0.500  -0.14
O: 0.750 0.251 0.004  0.02
O: 0.750 0.568 0.378  -0.13
O: 0.750 0.583 0.122  0.11
O: 0.750 0.921 0.240  0.14

Values from the calculation:
DFT total energy	-7.161	eV/atom
crystal system	orthorhombic
M_tot	6.315	Bohr magnetons per cell



[4]
The following is a PBEsol calculation of a geometry-optimized Sr3Ru2O7 structure, from Alexandria.

Cell lengths 3.898, 3.898, 10.529 Å; angles 100.67, 100.67, 90.00 degrees
Each line ends with the local moment (μB).
Element x y z (fractional)
Sr: 0.500 0.500 0.000  0.01
Sr: 0.315 0.315 0.631  0.01
Sr: 0.685 0.685 0.369  0.01
Ru: 0.902 0.902 0.804  1.12
Ru: 0.098 0.098 0.196  1.12
O: 0.097 0.597 0.194  0.13
O: 0.597 0.097 0.194  0.13
O: 0.903 0.403 0.806  0.13
O: 0.403 0.903 0.806  0.13
O: 0.196 0.196 0.392  0.04
O: 0.000 0.000 0.000  0.15
O: 0.804 0.804 0.608  0.04

Values from the calculation:
DFT total energy	-7.232	eV/atom
crystal system	tetragonal
M_tot	3.332	Bohr magnetons per cell